Entry 1:
The following is a DFT calculation (GGA-PBE) of Ba3CuTc2O9 after structural relaxation.

Results
Formation energy from raw total energies: -185.1 kJ per mole of atoms
Fermi-level density of states: 12.720 states/eV/f.u.
M_tot: 0.4 μB per cell

CIF file:
```
data_Ba3CuTc2O9
_space_group_name_H-M_alt 'P -3 m 1'
_space_group_IT_number 164
_space_group_name_Hall '-P 3 2"'
_cell_length_a 5.7727
_cell_length_b 5.7727
_cell_length_c 7.1485
_cell_angle_alpha 90.00
_cell_angle_beta 90.00
_cell_angle_gamma 120.00
loop_
_atom_site_label
_atom_site_fract_x
_atom_site_fract_y
_atom_site_fract_z
_atom_site_occupancy
Ba1 0.0000 0.0000 0.0000 1
Ba2 0.3333 0.6667 0.6576 1
Cu1 0.0000 0.0000 0.5000 1
Tc1 0.3333 0.6667 0.1656 1
O1 0.0000 0.5000 0.0000 1
O2 0.1746 0.3492 0.3153 1
```

=====

Entry 2:
The following is a DFT calculation (GGA-PBE) of Ba2CuTcO6 after structural relaxation.

Results
Formation energy from raw total energies: -178.6 kJ per mole of atoms
Fermi-level density of states: 0.507 states/eV/f.u.
M_tot: 0.0 μB per cell

CIF file:
```
data_Ba2CuTcO6
_space_group_name_H-M_alt 'R -3 m'
_space_group_IT_number 166
_space_group_name_Hall '-R 3 2"'
_cell_length_a 5.8681
_cell_length_b 5.8681
_cell_length_c 28.6528
_cell_angle_alpha 90.00
_cell_angle_beta 90.00
_cell_angle_gamma 120.00
loop_
_atom_site_label
_atom_site_fract_x
_atom_site_fract_y
_atom_site_fract_z
_atom_site_occupancy
Ba1 0.0000 0.0000 0.1276 1
Ba2 0.0000 0.0000 0.2799 1
Cu1 0.0000 0.0000 0.3965 1
Tc1 0.0000 0.0000 0.0000 1
Tc2 0.0000 0.0000 0.5000 1
O1 0.0249 0.5124 0.1279 1
O2 0.0269 0.5135 0.7062 1
```

=====

Entry 3:
The following is a DFT calculation (GGA-PBE) of Ba3Cu2TcO9 after structural relaxation.

Results
Formation energy from raw total energies: -164.3 kJ per mole of atoms
Fermi-level density of states: 2.359 states/eV/f.u.
M_tot: 0.0 μB per cell

CIF file:
```
data_Ba3Cu2TcO9
_space_group_name_H-M_alt 'P -3 m 1'
_space_group_IT_number 164
_space_group_name_Hall '-P 3 2"'
_cell_length_a 5.7402
_cell_length_b 5.7402
_cell_length_c 7.1288
_cell_angle_alpha 90.00
_cell_angle_beta 90.00
_cell_angle_gamma 120.00
loop_
_atom_site_label
_atom_site_fract_x
_atom_site_fract_y
_atom_site_fract_z
_atom_site_occupancy
Ba1 0.0000 0.0000 0.0000 1
Ba2 0.3333 0.6667 0.6798 1
Cu1 0.3333 0.6667 0.1477 1
Tc1 0.0000 0.0000 0.5000 1
O1 0.0000 0.5000 0.0000 1
O2 0.1577 0.3154 0.3461 1
```

=====

Entry 4:
The following is a DFT calculation (GGA-PBE) of Ba2CuTeO6 after structural relaxation.

Results
Formation energy from raw total energies: -167.6 kJ per mole of atoms
Fermi-level density of states: 0.583 states/eV/f.u.
M_tot: 1.9 μB per cell

CIF file:
```
data_Ba2CuTeO6
_space_group_name_H-M_alt 'I 4/m'
_space_group_IT_number 87
_space_group_name_Hall '-I 4'
_cell_length_a 5.6403
_cell_length_b 5.6403
_cell_length_c 8.9882
_cell_angle_alpha 90.00
_cell_angle_beta 90.00
_cell_angle_gamma 90.00
loop_
_atom_site_label
_atom_site_fract_x
_atom_site_fract_y
_atom_site_fract_z
_atom_site_occupancy
Ba1 0.0000 0.5000 0.2500 1
Cu1 0.0000 0.0000 0.0000 1
Te1 0.0000 0.0000 0.5000 1
O1 0.0000 0.0000 0.2841 1
O2 0.2191 0.2770 0.5000 1
```

=====

Entry 5:
The following is a DFT calculation (GGA-PBE) of Ba3CuTe2O9 after structural relaxation.

Results
Formation energy from raw total energies: -172.6 kJ per mole of atoms
Fermi-level density of states: 1.089 states/eV/f.u.
M_tot: 0.0 μB per cell

CIF file:
```
data_Ba3CuTe2O9
_space_group_name_H-M_alt 'P -3 m 1'
_space_group_IT_number 164
_space_group_name_Hall '-P 3 2"'
_cell_length_a 5.9242
_cell_length_b 5.9242
_cell_length_c 7.2885
_cell_angle_alpha 90.00
_cell_angle_beta 90.00
_cell_angle_gamma 120.00
loop_
_atom_site_label
_atom_site_fract_x
_atom_site_fract_y
_atom_site_fract_z
_atom_site_occupancy
Ba1 0.0000 0.0000 0.0000 1
Ba2 0.3333 0.6667 0.6609 1
Cu1 0.0000 0.0000 0.5000 1
Te1 0.3333 0.6667 0.1777 1
O1 0.0000 0.5000 0.0000 1
O2 0.1723 0.3446 0.3237 1
```

=====

Entry 6:
The following is a DFT calculation (GGA-PBE) of BaCu2TeO2 after structural relaxation.

Results
Formation energy from raw total energies: -97.1 kJ per mole of atoms
Fermi-level density of states: 4.610 states/eV/f.u.
M_tot: 2.1 μB per cell

CIF file:
```
data_BaCu2TeO2
_space_group_name_H-M_alt 'P 1 21/m 1'
_space_group_IT_number 11
_space_group_name_Hall '-P 2yb'
_cell_length_a 4.5229
_cell_length_b 6.1279
_cell_length_c 8.6090
_cell_angle_alpha 90.00
_cell_angle_beta 105.16
_cell_angle_gamma 90.00
loop_
_atom_site_label
_atom_site_fract_x
_atom_site_fract_y
_atom_site_fract_z
_atom_site_occupancy
Ba1 0.2100 0.2500 0.4211 1
Cu1 0.4050 0.2500 0.8070 1
Cu2 0.4240 0.7500 0.8468 1
Te1 0.0082 0.7500 0.0170 1
O1 0.3413 0.5165 0.6811 1
```

=====

Entry 7:
The following is a DFT calculation (GGA-PBE) of Ba2CuTe2O6 after structural relaxation.

Results
Formation energy from raw total energies: -130.7 kJ per mole of atoms
Fermi-level density of states: 1.845 states/eV/f.u.
M_tot: 0.0 μB per cell

CIF file:
```
data_Ba2CuTe2O6
_space_group_name_H-M_alt 'R -3 m'
_space_group_IT_number 166
_space_group_name_Hall '-R 3 2"'
_cell_length_a 6.2345
_cell_length_b 6.2345
_cell_length_c 17.8002
_cell_angle_alpha 90.00
_cell_angle_beta 90.00
_cell_angle_gamma 120.00
loop_
_atom_site_label
_atom_site_fract_x
_atom_site_fract_y
_atom_site_fract_z
_atom_site_occupancy
Ba1 0.0000 0.0000 0.2027 1
Cu1 0.0000 0.0000 0.0000 1
Te1 0.0000 0.0000 0.3988 1
O1 0.0280 0.5140 0.7528 1
```

=====

Entry 8:
The following is a DFT calculation (GGA-PBE) of Ba2Cu2TeO6 after structural relaxation.

Results
Formation energy from raw total energies: -148.8 kJ per mole of atoms
Fermi-level density of states: 1.190 states/eV/f.u.
M_tot: 0.0 μB per cell

CIF file:
```
data_Ba2Cu2TeO6
_space_group_name_H-M_alt 'C 1 2/m 1'
_space_group_IT_number 12
_space_group_name_Hall '-C 2y'
_cell_length_a 10.1988
_cell_length_b 6.0918
_cell_length_c 6.2467
_cell_angle_alpha 90.00
_cell_angle_beta 119.53
_cell_angle_gamma 90.00
loop_
_atom_site_label
_atom_site_fract_x
_atom_site_fract_y
_atom_site_fract_z
_atom_site_occupancy
Ba1 0.2212 0.0000 0.1905 1
Cu1 0.0536 0.5000 0.2361 1
Te1 0.0000 0.0000 0.5000 1
O1 0.0317 0.2210 0.7608 1
O2 0.2200 0.0000 0.6322 1
```

=====

Entry 9:
The following is a DFT calculation (GGA-PBE) of BaCuTeO6 after structural relaxation.

Results
Formation energy from raw total energies: -120.9 kJ per mole of atoms
Fermi-level density of states: 4.054 states/eV/f.u.
M_tot: 1.0 μB per cell

CIF file:
```
data_BaCuTeO6
_space_group_name_H-M_alt 'P 3 1 2'
_space_group_IT_number 149
_space_group_name_Hall 'P 3 2'
_cell_length_a 5.2196
_cell_length_b 5.2196
_cell_length_c 5.8360
_cell_angle_alpha 90.00
_cell_angle_beta 90.00
_cell_angle_gamma 120.00
loop_
_atom_site_label
_atom_site_fract_x
_atom_site_fract_y
_atom_site_fract_z
_atom_site_occupancy
Ba1 0.0000 0.0000 0.0000 1
Cu1 0.3333 0.6667 0.5000 1
Te1 0.6667 0.3333 0.5000 1
O1 0.3908 0.0032 0.6912 1
```

=====

Entry 10:
The following is a DFT calculation (GGA-PBE) of Ba2CuTeO6 after structural relaxation.

Results
Formation energy from raw total energies: -169.3 kJ per mole of atoms
Fermi-level density of states: 0.580 states/eV/f.u.
M_tot: 3.9 μB per cell

CIF file:
```
data_Ba2CuTeO6
_space_group_name_H-M_alt 'C 1 2/m 1'
_space_group_IT_number 12
_space_group_name_Hall '-C 2y'
_cell_length_a 10.3857
_cell_length_b 5.8041
_cell_length_c 10.3428
_cell_angle_alpha 90.00
_cell_angle_beta 108.42
_cell_angle_gamma 90.00
loop_
_atom_site_label
_atom_site_fract_x
_atom_site_fract_y
_atom_site_fract_z
_atom_site_occupancy
Ba1 0.1281 0.0000 0.3728 1
Ba2 0.2159 0.5000 0.1433 1
Cu1 0.0922 0.5000 0.7830 1
Te1 0.0000 0.0000 0.0000 1
Te2 0.0000 0.5000 0.5000 1
O1 0.0492 0.2416 0.8886 1
O2 0.1026 0.2712 0.6337 1
O3 0.1382 0.5000 0.4092 1
O4 0.1853 0.0000 0.1243 1
```

=====

Entry 11:
The following is a DFT calculation (GGA-PBE) of Ba2CuTeO2 after structural relaxation.

Results
Formation energy from raw total energies: -161.2 kJ per mole of atoms
Fermi-level density of states: 3.112 states/eV/f.u.
M_tot: 0.0 μB per cell

CIF file:
```
data_Ba2CuTeO2
_space_group_name_H-M_alt 'P 4/m m m'
_space_group_IT_number 123
_space_group_name_Hall '-P 4 2'
_cell_length_a 4.1456
_cell_length_b 4.1456
_cell_length_c 8.0265
_cell_angle_alpha 90.00
_cell_angle_beta 90.00
_cell_angle_gamma 90.00
loop_
_atom_site_label
_atom_site_fract_x
_atom_site_fract_y
_atom_site_fract_z
_atom_site_occupancy
Ba1 0.0000 0.0000 0.2234 1
Cu1 0.5000 0.5000 0.0000 1
Te1 0.5000 0.5000 0.5000 1
O1 0.0000 0.5000 0.0000 1
```

=====

Entry 12:
The following is a DFT calculation (GGA-PBE) of Ba3ThCu2O8 after structural relaxation.

Results
Formation energy from raw total energies: -191.4 kJ per mole of atoms
Fermi-level density of states: 9.004 states/eV/f.u.
M_tot: 4.1 μB per cell

CIF file:
```
data_Ba3ThCu2O8
_space_group_name_H-M_alt 'P -3 m 1'
_space_group_IT_number 164
_space_group_name_Hall '-P 3 2"'
_cell_length_a 6.0644
_cell_length_b 6.0644
_cell_length_c 7.7557
_cell_angle_alpha 90.00
_cell_angle_beta 90.00
_cell_angle_gamma 120.00
loop_
_atom_site_label
_atom_site_fract_x
_atom_site_fract_y
_atom_site_fract_z
_atom_site_occupancy
Ba1 0.0000 0.0000 0.0000 1
Ba2 0.3333 0.6667 0.6489 1
Th1 0.0000 0.0000 0.5000 1
Cu1 0.3333 0.6667 0.2003 1
O1 0.1718 0.3435 0.3241 1
O2 0.3333 0.6667 0.9710 1
```

=====

Entry 13:
The following is a DFT calculation (GGA-PBE) of Ba3ThCu2O9 after structural relaxation.

Results
Formation energy from raw total energies: -186.4 kJ per mole of atoms
Fermi-level density of states: 9.841 states/eV/f.u.
M_tot: 0.0 μB per cell

CIF file:
```
data_Ba3ThCu2O9
_space_group_name_H-M_alt 'P -3 m 1'
_space_group_IT_number 164
_space_group_name_Hall '-P 3 2"'
_cell_length_a 5.8567
_cell_length_b 5.8567
_cell_length_c 7.3183
_cell_angle_alpha 90.00
_cell_angle_beta 90.00
_cell_angle_gamma 120.00
loop_
_atom_site_label
_atom_site_fract_x
_atom_site_fract_y
_atom_site_fract_z
_atom_site_occupancy
Ba1 0.0000 0.0000 0.0000 1
Ba2 0.3333 0.6667 0.7005 1
Th1 0.0000 0.0000 0.5000 1
Cu1 0.3333 0.6667 0.1601 1
O1 0.0000 0.5000 0.0000 1
O2 0.1751 0.3501 0.3171 1
```

=====

Entry 14:
The following is a DFT calculation (GGA-PBE) of BaThCuO4 after structural relaxation.

Results
Formation energy from raw total energies: -227.5 kJ per mole of atoms
Fermi-level density of states: 0.298 states/eV/f.u.
M_tot: 4.0 μB per cell

CIF file:
```
data_BaThCuO4
_space_group_name_H-M_alt 'I m m a'
_space_group_IT_number 74
_space_group_name_Hall '-I 2b 2'
_cell_length_a 6.4079
_cell_length_b 7.2431
_cell_length_c 11.1092
_cell_angle_alpha 90.00
_cell_angle_beta 90.00
_cell_angle_gamma 90.00
loop_
_atom_site_label
_atom_site_fract_x
_atom_site_fract_y
_atom_site_fract_z
_atom_site_occupancy
Ba1 0.0000 0.2500 0.1786 1
Th1 0.0000 0.0000 0.5000 1
Cu1 0.2500 0.2500 0.7500 1
O1 0.0000 0.0732 0.7127 1
O2 0.2117 0.2500 0.4662 1
```

=====

Entry 15:
The following is a DFT calculation (GGA-PBE) of Ba2ThCu2O6 after structural relaxation.

Results
Formation energy from raw total energies: -202.2 kJ per mole of atoms
Fermi-level density of states: 5.733 states/eV/f.u.
M_tot: 6.1 μB per cell

CIF file:
```
data_Ba2ThCu2O6
_space_group_name_H-M_alt 'R -3 m'
_space_group_IT_number 166
_space_group_name_Hall '-R 3 2"'
_cell_length_a 6.1496
_cell_length_b 6.1496
_cell_length_c 17.8075
_cell_angle_alpha 90.00
_cell_angle_beta 90.00
_cell_angle_gamma 120.00
loop_
_atom_site_label
_atom_site_fract_x
_atom_site_fract_y
_atom_site_fract_z
_atom_site_occupancy
Ba1 0.0000 0.0000 0.2121 1
Th1 0.0000 0.0000 0.0000 1
Cu1 0.0000 0.0000 0.4235 1
O1 0.0162 0.5081 0.7541 1
```

=====

Entry 16:
The following is a DFT calculation (GGA-PBE) of Ba3TiCu2O6 after structural relaxation.

Results
Formation energy from raw total energies: -198.2 kJ per mole of atoms
Fermi-level density of states: 2.833 states/eV/f.u.
M_tot: 0.0 μB per cell

CIF file:
```
data_Ba3TiCu2O6
_space_group_name_H-M_alt 'P -3 m 1'
_space_group_IT_number 164
_space_group_name_Hall '-P 3 2"'
_cell_length_a 5.9156
_cell_length_b 5.9156
_cell_length_c 6.7433
_cell_angle_alpha 90.00
_cell_angle_beta 90.00
_cell_angle_gamma 120.00
loop_
_atom_site_label
_atom_site_fract_x
_atom_site_fract_y
_atom_site_fract_z
_atom_site_occupancy
Ba1 0.0000 0.0000 0.0000 1
Ba2 0.3333 0.6667 0.6539 1
Ti1 0.0000 0.0000 0.5000 1
Cu1 0.3333 0.6667 0.2117 1
O1 0.1571 0.3143 0.3232 1
```

=====

Entry 17:
The following is a DFT calculation (GGA-PBE) of Ba4TiCu3O9 after structural relaxation.

Results
Formation energy from raw total energies: -195.6 kJ per mole of atoms
Fermi-level density of states: 1.976 states/eV/f.u.
M_tot: 0.0 μB per cell

CIF file:
```
data_Ba4TiCu3O9
_space_group_name_H-M_alt 'P m -3 n'
_space_group_IT_number 223
_space_group_name_Hall '-P 4n 2 3'
_cell_length_a 7.9656
_cell_length_b 7.9656
_cell_length_c 7.9656
_cell_angle_alpha 90.00
_cell_angle_beta 90.00
_cell_angle_gamma 90.00
loop_
_atom_site_label
_atom_site_fract_x
_atom_site_fract_y
_atom_site_fract_z
_atom_site_occupancy
Ba1 0.2500 0.2500 0.2500 1
Ti1 0.0000 0.0000 0.0000 1
Cu1 0.0000 0.0000 0.5000 1
O1 0.0000 0.0000 0.2537 1
O2 0.0000 0.2500 0.5000 1
```

=====

Entry 18:
The following is a DFT calculation (GGA-PBE) of Ba3Ti2CuO8 after structural relaxation.

Results
Formation energy from raw total energies: -249.7 kJ per mole of atoms
Fermi-level density of states: 6.865 states/eV/f.u.
M_tot: 1.0 μB per cell

CIF file:
```
data_Ba3Ti2CuO8
_space_group_name_H-M_alt 'P -3 m 1'
_space_group_IT_number 164
_space_group_name_Hall '-P 3 2"'
_cell_length_a 5.8463
_cell_length_b 5.8463
_cell_length_c 7.5335
_cell_angle_alpha 90.00
_cell_angle_beta 90.00
_cell_angle_gamma 120.00
loop_
_atom_site_label
_atom_site_fract_x
_atom_site_fract_y
_atom_site_fract_z
_atom_site_occupancy
Ba1 0.0000 0.0000 0.0000 1
Ba2 0.3333 0.6667 0.6507 1
Ti1 0.3333 0.6667 0.2220 1
Cu1 0.0000 0.0000 0.5000 1
O1 0.1662 0.3324 0.3193 1
O2 0.3333 0.6667 0.9848 1
```

=====

Entry 19:
The following is a DFT calculation (GGA-PBE) of BaYTiCuO5 after structural relaxation.

Results
Formation energy from raw total energies: -251.2 kJ per mole of atoms
Fermi-level density of states: 1.683 states/eV/f.u.
M_tot: 0.2 μB per cell

CIF file:
```
data_BaYTiCuO5
_space_group_name_H-M_alt 'P 4 m m'
_space_group_IT_number 99
_space_group_name_Hall 'P 4 -2'
_cell_length_a 3.9197
_cell_length_b 3.9197
_cell_length_c 8.0278
_cell_angle_alpha 90.00
_cell_angle_beta 90.00
_cell_angle_gamma 90.00
loop_
_atom_site_label
_atom_site_fract_x
_atom_site_fract_y
_atom_site_fract_z
_atom_site_occupancy
Ba1 0.0000 0.0000 0.0000 1
Y1 0.0000 0.0000 0.4365 1
Ti1 0.5000 0.5000 0.6769 1
Cu1 0.5000 0.5000 0.2650 1
O1 0.0000 0.5000 0.2592 1
O2 0.0000 0.5000 0.6203 1
O3 0.5000 0.5000 0.9007 1
```